Here is crystalline DyHo4Th6 at its relaxed geometry from Alexandria. Energies are from PBE.

```
DyHo4Th6
1.0
-0.545 -5.283 3.528
1.226 -3.562 -5.144
8.485 4.760 2.677
Th Ho Dy
6 4 1
Direct
0.501 0.878 0.379
0.122 0.122 0.621
0.000 0.500 0.000
0.499 0.499 0.621
0.878 0.501 0.379
0.500 0.000 0.000
0.942 0.942 0.253
0.058 0.689 0.747
0.689 0.058 0.747
0.311 0.311 0.253
0.500 0.500 0.000
```

- ΔE_f: 422 meV/atom
- Symmetry: I-42m, No. 121
- Final energy: -5.708 eV per atom